This record from Alexandria describes an optimized crystal structure of Rb3Ni2O4. The functional is PBE+U.

Values from the calculation:
relative energy among the computed polymorphs = 0 meV per atom
density = 4.0 Mg/m³
DOS at the Fermi energy = 0.09 states/eV per atom
space-group type = Imma
spin magnetization = 9.99 μB per cell
crystal system = orthorhombic

a = 5.927 Å, b = 8.104 Å, c = 9.062 Å
α = 116.56°, β = 109.09°, γ = 90.00°
Each line ends with the local moment (μB).
Sites, in units of the cell vectors:
O 0.080 0.170 0.161  0.28
O 0.853 0.853 0.205  0.23
O 0.580 0.490 0.161  0.28
O 0.647 0.147 0.795  0.23
O 0.420 0.510 0.839  0.28
O 0.920 0.830 0.839  0.28
O 0.147 0.147 0.795  0.23
O 0.353 0.853 0.205  0.23
Ni 0.045 0.904 0.090  1.86
Ni 0.955 0.096 0.910  1.86
Ni 0.545 0.687 0.090  1.86
Ni 0.455 0.313 0.910  1.86
Rb 0.889 0.456 0.778  0.00
Rb 0.611 0.179 0.222  0.00
Rb 0.111 0.544 0.222  0.00
Rb 0.750 0.854 0.500  0.01
Rb 0.250 0.146 0.500  0.01
Rb 0.389 0.821 0.778  0.00